1.
NiIrPb2 | PBE-GGA | optimized geometry Values from VASP.

```
&SYSTEM
  ibrav = 0, nat = 4, ntyp = 3
/
ATOMIC_SPECIES
Ni 58.69 Ni.upf
Ir 192.22 Ir.upf
Pb 207.20 Pb.upf
ATOMIC_POSITIONS crystal
Ni 0.0000 0.0000 0.0000
Ir 0.2765 0.2765 0.2765
Pb 0.5327 0.5327 0.5327
Pb 0.7393 0.7393 0.7393
CELL_PARAMETERS angstrom
1.5887 0.9172 10.0593
-1.5887 0.9172 10.0593
0.0000 -1.8345 10.0593
```

Computed properties:
Space-group type = R3m
Relative energy among the computed polymorphs = 0.257 eV/atom
Crystal system = trigonal

***

2.
NiIrPb2 | PBE-GGA | optimized geometry Values from VASP.

```
&SYSTEM
  ibrav = 0, nat = 4, ntyp = 3
/
ATOMIC_SPECIES
Ni 58.69 Ni.upf
Ir 192.22 Ir.upf
Pb 207.20 Pb.upf
ATOMIC_POSITIONS crystal
Ni 0.0000 0.0000 0.0000
Ir 0.5000 0.5000 0.5000
Pb 0.2536 0.2536 0.2536
Pb 0.7464 0.7464 0.7464
CELL_PARAMETERS angstrom
1.6921 0.9769 8.0229
-1.6921 0.9769 8.0229
0.0000 -1.9538 8.0229
```

Computed properties:
Space-group type = R-3m
Relative energy among the computed polymorphs = 0.279 eV/atom
Crystal system = trigonal

***

3.
NiIrPb2 | PBE-GGA | optimized geometry Values from VASP.

```
&SYSTEM
  ibrav = 0, nat = 4, ntyp = 3
/
ATOMIC_SPECIES
Ni 58.69 Ni.upf
Ir 192.22 Ir.upf
Pb 207.20 Pb.upf
ATOMIC_POSITIONS crystal
Ni 0.0000 0.0000 0.0000
Ir 0.5000 0.5000 0.8417
Pb 0.0000 0.0000 0.6142
Pb 0.5000 0.5000 0.2058
CELL_PARAMETERS angstrom
3.2052 0.0000 0.0000
0.0000 3.2052 0.0000
0.0000 0.0000 8.3309
```

Computed properties:
Space-group type = P4mm
Relative energy among the computed polymorphs = 0.030 eV/atom
Crystal system = tetragonal

***

4.
Ni2IrPb | PBE-GGA | optimized geometry Values from VASP.

```
&SYSTEM
  ibrav = 0, nat = 8, ntyp = 3
/
ATOMIC_SPECIES
Ni 58.69 Ni.upf
Ir 192.22 Ir.upf
Pb 207.20 Pb.upf
ATOMIC_POSITIONS crystal
Ni 0.0577 0.6250 0.9327
Ni 0.3750 0.3077 0.4327
Ni 0.6923 0.1250 0.0673
Ni 0.8750 0.9423 0.5673
Ir 0.0000 0.0000 0.0000
Ir 0.7500 0.2500 0.5000
Pb 0.2500 0.7500 0.5000
Pb 0.5000 0.5000 0.0000
CELL_PARAMETERS angstrom
-1.9600 1.9600 8.8760
1.9600 -1.9600 8.8760
1.9600 1.9600 -8.8760
```

Computed properties:
Space-group type = I-42d
Crystal system = tetragonal

***

no.,ΔE_f (meV per atom)
1,469
2,491
3,242
4,568